## UBr4 (GGA-PBE)

Data for an optimized crystal structure of UBr4.

The structure belongs to space group C2/m (No. 12); the cell edges are 11.3278, 8.8851 and 7.7156 Å and the angles 90.00°, 92.51° and 90.00°. The inequivalent atoms are U at (0.1961, 0.0000, 0.4424), Br at (0.0485, 0.0000, 0.7304), Br at (0.1403, 0.3096, 0.3532) and Br at (0.1768, 0.5000, 0.8390).

The total energy comes out at -24.433 eV per formula unit. For the size of the total moment, the calculation gives 8.00 μB per cell. The formation energy without anion corrections is -1291 meV/atom.



## Tl2HgSb (GGA-PBE)

Data for an optimized crystal structure of Tl2HgSb.

The structure belongs to space group P2/m (No. 10); the cell edges are 3.4371, 4.4239 and 8.1100 Å and the angles 90.00°, 92.19° and 90.00°. The inequivalent atoms are Tl at (0.0209, 0.0000, 0.2370), Hg at (0.5000, 0.5000, 0.5000) and Sb at (0.5000, 0.5000, 0.0000).

Its energy above the most stable polymorph in this dataset is 26.8 meV/atom. The total energy comes out at -9.088 eV per formula unit. For the size of the total moment, the calculation gives 0.00 μB per cell. The formation energy without anion corrections is 17 meV/atom.



## K2CaBe (GGA-PBE)

Data for an optimized crystal structure of K2CaBe.

The structure belongs to space group I-42d (No. 122); the cell edges are 11.5226, 11.5226 and 5.9299 Å and the angles 90.00°, 90.00° and 90.00°. The inequivalent atoms are K at (0.1317, 0.7500, 0.1250), Ca at (0.0000, 0.0000, 0.5000) and Be at (0.0000, 0.0000, 0.0000).

The total energy comes out at -5.288 eV per formula unit. For the size of the total moment, the calculation gives 0.00 μB per cell. The value obtained for the energy of formation from the pure elements is 63.5 kJ per mole of atoms.



## NaMnAlFe (GGA-PBE)

Data for an optimized crystal structure of NaMnAlFe.

The structure belongs to space group P4mm (No. 99); the cell edges are 2.7391, 2.7391 and 8.2013 Å and the angles 90.00°, 90.00° and 90.00°. The inequivalent atoms are Na at (0.0000, 0.0000, 0.0000), Mn at (0.0000, 0.0000, 0.5410), Al at (0.5000, 0.5000, 0.3294) and Fe at (0.5000, 0.5000, 0.6977).

Its energy above the most stable polymorph in this dataset is 19.3 meV/atom. The total energy comes out at -21.794 eV per formula unit. For the size of the total moment, the calculation gives 0.89 μB per cell. The value obtained for the energy of formation from the pure elements is 21.7 kJ per mole of atoms.



## Y4TlGaN (GGA-PBE)

Data for an optimized crystal structure of Y4TlGaN.

The structure belongs to space group Cmcm (No. 63); the cell edges are 6.6629, 15.5234 and 6.6700 Å and the angles 90.00°, 90.00° and 90.00°. The inequivalent atoms are Y at (0.0000, 0.0793, 0.2500), Y at (0.0000, 0.4133, 0.2500), Y at (0.2500, 0.2500, 0.0000), Tl at (0.0000, 0.3893, 0.7500), Ga at (0.0000, 0.1179, 0.7500) and N at (0.0000, 0.2505, 0.2500).

The total energy comes out at -44.901 eV per formula unit. For the size of the total moment, the calculation gives 0.00 μB per cell. The formation energy without anion corrections is -761 meV/atom.



## CaDyTm2S4 (GGA-PBE)

Data for an optimized crystal structure of CaDyTm2S4.

The structure belongs to space group P2/m (No. 10); the cell edges are 6.7485, 3.8803 and 6.7554 Å and the angles 90.00°, 109.17° and 90.00°. The inequivalent atoms are Ca at (0.0000, 0.0000, 0.0000), Dy at (0.0000, 0.5000, 0.5000), Tm at (0.5000, 0.0000, 0.5000), Tm at (0.5000, 0.5000, 0.0000), S at (0.2562, 0.0000, 0.7518) and S at (0.2578, 0.5000, 0.2537).

The total energy comes out at -47.986 eV per formula unit. For the size of the total moment, the calculation gives 0.00 μB per cell. The formation energy without anion corrections is -1991 meV/atom.



no.,N(E_F) (states/eV/f.u.)
1,3.41
2,1.97
3,4.17
4,3.12
5,4.96
6,2.37